Entry 1:
# GGA-PBE AlCo2Tc, relaxed
data_AlCo2Tc
_chemical_formula_sum 'Al1 Co2 Tc1'
_space_group_name_H-M_alt 'P 1 2/m 1'
_space_group_IT_number 10
_cell_length_a 2.6558
_cell_length_b 3.5544
_cell_length_c 5.1911
_cell_angle_alpha 90.00
_cell_angle_beta 90.21
_cell_angle_gamma 90.00
loop_
_space_group_symop_operation_xyz
'x,y,z'
'-x,-y,-z'
'-x,y,-z'
'x,-y,z'
loop_
_atom_site_label
_atom_site_type_symbol
_atom_site_fract_x
_atom_site_fract_y
_atom_site_fract_z
_atom_site_occupancy
Al1 Al 0.0000 0.0000 0.0000 1
Co1 Co 0.4993 0.5000 0.7469 1
Tc1 Tc 0.0000 0.0000 0.5000 1
# Energy of formation (kJ/mol of atoms): -16.5
# Magnetic moment (μB per atom): 0.0000


Entry 2:
# GGA-PBE AlCo2Tc, relaxed
data_AlCo2Tc
_chemical_formula_sum 'Al3 Co6 Tc3'
_space_group_name_H-M_alt 'R -3 m'
_space_group_IT_number 166
_space_group_name_Hall '-R 3 2"'
_cell_length_a 2.6547
_cell_length_b 2.6547
_cell_length_c 24.3422
_cell_angle_alpha 90.00
_cell_angle_beta 90.00
_cell_angle_gamma 120.00
loop_
_atom_site_label
_atom_site_type_symbol
_atom_site_fract_x
_atom_site_fract_y
_atom_site_fract_z
_atom_site_occupancy
Al1 Al 0.0000 0.0000 0.0000 1
Co1 Co 0.0000 0.0000 0.2517 1
Tc1 Tc 0.0000 0.0000 0.5000 1
# Energy of formation (kJ/mol of atoms): -4.1
# Magnetic moment (μB per atom): 0.0000


Question: What is the formula in the first record?
Answer: AlCo2Tc


Question: What is the energy of formation in the first record?
Answer: -16.5 kJ/mol of atoms